## Mg5ScO6 (PBE)

Data for crystalline Mg5ScO6 at its relaxed geometry.

Results
Total magnetization, μB/f.u.: 0.73
E, eV/atom: -6.285
Formation energy (no corrections), eV per atom: -2.61
Space-group type: No. 12

Unit cell a=5.3267 b=5.3267 c=5.3172 alpha=99.65 beta=99.65 gamma=120.03
Sites, in units of the cell vectors:
Mg: 0.0000 0.0000 0.0000
Mg: 0.1662 0.8338 0.5000
Mg: 0.3320 0.6680 0.0000
Mg: 0.6680 0.3320 0.0000
Mg: 0.8338 0.1662 0.5000
Sc: 0.5000 0.5000 0.5000
O: 0.0758 0.4167 0.2480
O: 0.2444 0.2444 0.7554
O: 0.4167 0.0758 0.2480
O: 0.5833 0.9242 0.7520
O: 0.7556 0.7556 0.2446
O: 0.9242 0.5833 0.7520

## MgScSeO5 (PBE)

Data for crystalline MgScSeO5 at its relaxed geometry.

Results
Total magnetization, μB/f.u.: 0.00
E, eV/atom: -6.404
Formation energy (no corrections), eV per atom: -1.88
Space-group type: No. 15

Unit cell a=5.9800 b=5.9800 c=7.1581 alpha=102.90 beta=102.90 gamma=111.68
Sites, in units of the cell vectors:
Mg: 0.0002 0.9998 0.2500
Mg: 0.9998 0.0002 0.7500
Sc: 0.0000 0.5000 0.0000
Sc: 0.5000 0.0000 0.5000
Se: 0.4687 0.5313 0.7500
Se: 0.5313 0.4687 0.2500
O: 0.1640 0.2407 0.1053
O: 0.1958 0.8042 0.2500
O: 0.2407 0.1640 0.6053
O: 0.3481 0.6307 0.9281
O: 0.3693 0.6519 0.5719
O: 0.6307 0.3481 0.4281
O: 0.6519 0.3693 0.0719
O: 0.7593 0.8360 0.3947
O: 0.8042 0.1958 0.7500
O: 0.8360 0.7593 0.8947

## Mg4Sc3Si8O24 (PBE)

Data for crystalline Mg4Sc3Si8O24 at its relaxed geometry.

Results
Total magnetization, μB/f.u.: 0.95
E, eV/atom: -7.687
Formation energy (no corrections), eV per atom: -2.87
Space-group type: No. 3

Unit cell a=5.4367 b=8.9906 c=9.4564 alpha=90.00 beta=90.41 gamma=90.00
Sites, in units of the cell vectors:
Mg: 0.0000 0.0000 0.0000
Mg: 0.0000 0.1242 0.5000
Mg: 0.0000 0.4901 0.5000
Mg: 0.5000 0.9621 0.5000
Sc: 0.0000 0.6086 0.0000
Sc: 0.5000 0.3227 0.5000
Sc: 0.5000 0.8158 0.0000
Si: 0.1693 0.3135 0.2097
Si: 0.1799 0.8194 0.2968
Si: 0.3150 0.6435 0.7047
Si: 0.3312 0.1370 0.7940
Si: 0.6688 0.1370 0.2060
Si: 0.6850 0.6435 0.2953
Si: 0.8201 0.8194 0.7032
Si: 0.8307 0.3135 0.7903
O: 0.0430 0.7086 0.6453
O: 0.0599 0.2045 0.8488
O: 0.1448 0.4774 0.1467
O: 0.1570 0.3144 0.3848
O: 0.1643 0.8267 0.1232
O: 0.1834 0.9741 0.3818
O: 0.3182 0.6499 0.8756
O: 0.3190 0.4881 0.6174
O: 0.3193 0.9808 0.8798
O: 0.3287 0.1292 0.6196
O: 0.4257 0.2326 0.1581
O: 0.4558 0.7528 0.3501
O: 0.5442 0.7528 0.6499
O: 0.5743 0.2326 0.8419
O: 0.6713 0.1292 0.3804
O: 0.6810 0.4881 0.3826
O: 0.6807 0.9808 0.1202
O: 0.6818 0.6499 0.1244
O: 0.8166 0.9741 0.6182
O: 0.8357 0.8267 0.8768
O: 0.8430 0.3144 0.6152
O: 0.8552 0.4774 0.8533
O: 0.9401 0.2045 0.1512
O: 0.9570 0.7086 0.3547

## Mg2ScSnO (PBE)

Data for crystalline Mg2ScSnO at its relaxed geometry.

Results
Total magnetization, μB/f.u.: 0.00
E, eV/atom: -4.894
Formation energy (no corrections), eV per atom: -1.20
Space-group type: No. 123

Unit cell a=4.4053 b=4.4053 c=4.4852 alpha=90.00 beta=90.00 gamma=90.00
Sites, in units of the cell vectors:
Mg: 0.0000 0.5000 0.0000
Mg: 0.5000 0.0000 0.0000
Sc: 0.0000 0.0000 0.5000
Sn: 0.5000 0.5000 0.5000
O: 0.0000 0.0000 0.0000

## MgScTeO6 (PBE)

Data for crystalline MgScTeO6 at its relaxed geometry.

Results
Total magnetization, μB/f.u.: 1.03
E, eV/atom: -6.443
Formation energy (no corrections), eV per atom: -1.91
Space-group type: No. 163

Unit cell a=5.3322 b=5.3322 c=8.8047 alpha=90.00 beta=90.00 gamma=120.00
Sites, in units of the cell vectors:
Mg: 0.0000 0.0000 0.0000
Mg: 0.0000 0.0000 0.5000
Sc: 0.3333 0.6667 0.2500
Sc: 0.6667 0.3333 0.7500
Te: 0.3333 0.6667 0.7500
Te: 0.6667 0.3333 0.2500
O: 0.0251 0.3583 0.6306
O: 0.0251 0.6668 0.8694
O: 0.3332 0.3583 0.8694
O: 0.3332 0.9749 0.6306
O: 0.3583 0.0251 0.1306
O: 0.3583 0.3332 0.3694
O: 0.6417 0.6668 0.6306
O: 0.6417 0.9749 0.8694
O: 0.6668 0.0251 0.3694
O: 0.6668 0.6417 0.1306
O: 0.9749 0.3332 0.1306
O: 0.9749 0.6417 0.3694

## MgScTe2O8 (PBE)

Data for crystalline MgScTe2O8 at its relaxed geometry.

Results
Total magnetization, μB/f.u.: 0.00
E, eV/atom: -6.050
Formation energy (no corrections), eV per atom: -1.56
Space-group type: No. 119

Unit cell a=5.9495 b=5.9495 c=5.9495 alpha=108.35 beta=108.35 gamma=111.74
Sites, in units of the cell vectors:
Mg: 0.0000 0.0000 0.0000
Sc: 0.7500 0.2500 0.5000
Te: 0.2500 0.7500 0.5000
Te: 0.5000 0.5000 0.0000
O: 0.0525 0.3600 0.3075
O: 0.0525 0.7449 0.6925
O: 0.1060 0.3030 0.8030
O: 0.2551 0.9475 0.3075
O: 0.5000 0.3030 0.1970
O: 0.6400 0.9475 0.6925
O: 0.6970 0.5000 0.8030
O: 0.6970 0.8940 0.1970

## MgSc2TiO (PBE)

Data for crystalline MgSc2TiO at its relaxed geometry.

Results
Total magnetization, μB/f.u.: 0.84
E, eV/atom: -5.655
Polymorph energy (0 for the lowest one), eV/atom: 0.902
Formation energy (no corrections), eV per atom: -0.23
Space-group type: No. 123

Unit cell a=5.5766 b=5.5766 c=3.7083 alpha=90.00 beta=90.00 gamma=90.00
Sites, in units of the cell vectors:
Mg: 0.0000 0.0000 0.0000
Sc: 0.0000 0.5000 0.5000
Sc: 0.5000 0.0000 0.5000
Ti: 0.5000 0.5000 0.5000
O: 0.5000 0.5000 0.0000

## MgSc2TiO (PBE)

Data for crystalline MgSc2TiO at its relaxed geometry.

Results
Total magnetization, μB/f.u.: 0.00
E, eV/atom: -6.557
Polymorph energy (0 for the lowest one), eV/atom: 0.000
Formation energy (no corrections), eV per atom: -1.13
Space-group type: No. 123

Unit cell a=4.4813 b=4.4813 c=4.2217 alpha=90.00 beta=90.00 gamma=90.00
Sites, in units of the cell vectors:
Mg: 0.0000 0.0000 0.0000
Sc: 0.0000 0.5000 0.5000
Sc: 0.5000 0.0000 0.5000
Ti: 0.5000 0.5000 0.0000
O: 0.5000 0.5000 0.5000

## Mg2ScTlO (PBE)

Data for crystalline Mg2ScTlO at its relaxed geometry.

Results
Total magnetization, μB/f.u.: 0.00
E, eV/atom: -4.491
Formation energy (no corrections), eV per atom: -1.12
Space-group type: No. 123

Unit cell a=4.4059 b=4.4059 c=4.4422 alpha=90.00 beta=90.00 gamma=90.00
Sites, in units of the cell vectors:
Mg: 0.0000 0.5000 0.0000
Mg: 0.5000 0.0000 0.0000
Sc: 0.0000 0.0000 0.5000
Tl: 0.5000 0.5000 0.5000
O: 0.0000 0.0000 0.0000

## MgSc12Tl4O3 (PBE)

Data for crystalline MgSc12Tl4O3 at its relaxed geometry.

Results
Total magnetization, μB/f.u.: 0.00
E, eV/atom: -5.969
Formation energy (no corrections), eV per atom: -0.87
Space-group type: No. 229

Unit cell a=8.0281 b=8.0281 c=8.0281 alpha=109.47 beta=109.47 gamma=109.47
Sites, in units of the cell vectors:
Mg: 0.0000 0.0000 0.0000
Sc: 0.0000 0.2741 0.2741
Sc: 0.0000 0.7259 0.7259
Sc: 0.2500 0.5000 0.7500
Sc: 0.2500 0.7500 0.5000
Sc: 0.2741 0.0000 0.2741
Sc: 0.2741 0.2741 0.0000
Sc: 0.5000 0.2500 0.7500
Sc: 0.5000 0.7500 0.2500
Sc: 0.7259 0.0000 0.7259
Sc: 0.7259 0.7259 0.0000
Sc: 0.7500 0.2500 0.5000
Sc: 0.7500 0.5000 0.2500
Tl: 0.0000 0.0000 0.5000
Tl: 0.0000 0.5000 0.0000
Tl: 0.5000 0.0000 0.0000
Tl: 0.5000 0.5000 0.5000
O: 0.0000 0.5000 0.5000
O: 0.5000 0.0000 0.5000
O: 0.5000 0.5000 0.0000

> Which formula does entry 9 have?

Mg2ScTlO